Record 1
A plane-wave DFT calculation with PBE was carried out for Sr3TcS after structural relaxation.

Geometry as POSCAR:
```
Sr3TcS
1.0
5.685 0.000 0.000
0.000 5.685 0.000
0.000 0.000 5.685
Sr Tc S
3 1 1
direct
0.000 0.000 0.500
0.000 0.500 0.000
0.500 0.000 0.000
0.500 0.500 0.500
0.000 0.000 0.000
```

Computed properties:
Uncorrected formation energy (meV/atom): 0
Fermi-level density of states (states/eV per cell): 7.28
Crystal system: cubic
M_tot (Bohr magnetons per cell): 2.77
Offset from the most stable computed form (meV per atom): 0

Record 2
A plane-wave DFT calculation with PBE was carried out for TbDyTh2Rh4 after structural relaxation.

Geometry as POSCAR:
```
TbDyTh2Rh4
1.0
0.000 5.583 4.165
3.950 0.000 4.165
3.950 5.583 0.000
Tb Dy Th Rh
1 1 2 4
direct
0.000 0.000 0.000
0.570 0.570 0.430
0.224 0.224 0.276
0.724 0.724 0.776
0.080 0.486 0.920
0.234 0.705 0.295
0.486 0.080 0.514
0.705 0.234 0.766
```

Computed properties:
Fermi-level density of states (states/eV per cell): 5.33
Crystal system: orthorhombic
M_tot (Bohr magnetons per cell): 0.00
Formation enthalpy at 0 K (eV per atom): -0.7813

Repeat the second record exactly.
A plane-wave DFT calculation with PBE was carried out for TbDyTh2Rh4 after structural relaxation.

Geometry as POSCAR:
```
TbDyTh2Rh4
1.0
0.000 5.583 4.165
3.950 0.000 4.165
3.950 5.583 0.000
Tb Dy Th Rh
1 1 2 4
direct
0.000 0.000 0.000
0.570 0.570 0.430
0.224 0.224 0.276
0.724 0.724 0.776
0.080 0.486 0.920
0.234 0.705 0.295
0.486 0.080 0.514
0.705 0.234 0.766
```

Computed properties:
Fermi-level density of states (states/eV per cell): 5.33
Crystal system: orthorhombic
M_tot (Bohr magnetons per cell): 0.00
Formation enthalpy at 0 K (eV per atom): -0.7813